Entry 1:
First-principles (PBE) data for a relaxed BaFe2Hg crystal, as listed in the Alexandria database.

Cell lengths 9.9313, 9.9313, 9.9313 Å; angles 18.77, 18.77, 18.77 degrees
With the nearest neighbours (Å) after each atom.
Atoms (fractional coordinates):
Ba 0.7500 0.7500 0.7500  6 Ba 3.24, 6 Fe 3.33
Fe 0.9893 0.9893 0.9893  3 Hg 2.83
Fe 0.5107 0.5107 0.5107  3 Hg 2.83
Hg 0.2500 0.2500 0.2500  6 Fe 2.83

Values from the calculation:
E_form = 1.001 eV per atom
Symmetry = R-3m (166)
Energy above the lowest structure with this stoichiometry = 2.697 eV per formula unit
DOS at the Fermi energy = 5.9 states/eV/f.u.
Magnetization = 5.7 μB/f.u.



Entry 2:
First-principles (PBE) data for a relaxed BaFeHg2Rh crystal, as listed in the Alexandria database.

Cell lengths 6.5201, 5.1499, 6.5201 Å; angles 90.00, 90.00, 90.00 degrees
With the nearest neighbours (Å) after each atom.
Atoms (fractional coordinates):
Fe 0.5000 0.5000 0.5000  8 Hg 4.15, 4 Rh 4.61
Rh 0.0000 0.5000 0.0000  2 Ba 2.57
Hg 0.0000 0.0000 0.5000  2 Ba 3.26
Hg 0.5000 0.0000 0.0000  2 Ba 3.26
Ba 0.0000 0.0000 0.0000  2 Rh 2.57

Values from the calculation:
E_form = 1.368 eV per atom
Symmetry = P4/mmm (123)
DOS at the Fermi energy = 15.6 states/eV/f.u.
Magnetization = 3.6 μB/f.u.



Entry 3:
First-principles (PBE) data for a relaxed Ba2FeSiHg crystal, as listed in the Alexandria database.

Cell lengths 6.3524, 4.4328, 6.3524 Å; angles 90.00, 90.00, 90.00 degrees
With the nearest neighbours (Å) after each atom.
Atoms (fractional coordinates):
Fe 0.0000 0.5000 0.0000  2 Si 2.22
Si 0.0000 0.0000 0.0000  2 Fe 2.22
Hg 0.5000 0.5000 0.5000  8 Ba 3.87
Ba 0.0000 0.0000 0.5000  2 Si 3.18
Ba 0.5000 0.0000 0.0000  2 Si 3.18

Values from the calculation:
Symmetry = P4/mmm (123)
Energy above the lowest structure with this stoichiometry = 0.376 eV per formula unit
DOS at the Fermi energy = 4.4 states/eV/f.u.
Magnetization = 1.8 μB/f.u.
Formation energy (no corrections) = 37 meV per atom



What did the third record say?
First-principles (PBE) data for a relaxed Ba2FeSiHg crystal, as listed in the Alexandria database.

Cell lengths 6.3524, 4.4328, 6.3524 Å; angles 90.00, 90.00, 90.00 degrees
With the nearest neighbours (Å) after each atom.
Atoms (fractional coordinates):
Fe 0.0000 0.5000 0.0000  2 Si 2.22
Si 0.0000 0.0000 0.0000  2 Fe 2.22
Hg 0.5000 0.5000 0.5000  8 Ba 3.87
Ba 0.0000 0.0000 0.5000  2 Si 3.18
Ba 0.5000 0.0000 0.0000  2 Si 3.18

Values from the calculation:
Symmetry = P4/mmm (123)
Energy above the lowest structure with this stoichiometry = 0.376 eV per formula unit
DOS at the Fermi energy = 4.4 states/eV/f.u.
Magnetization = 1.8 μB/f.u.
Formation energy (no corrections) = 37 meV per atom



- What is the formula in the third record?
  Ba2FeSiHg